Entry from the Open Quantum Materials Database: an optimized crystal structure of K2Cd3Se4 (PBE).

abc: 14.3641 10.7237 6.9221
angles: 90.00 90.00 90.00
Element x y z (fractional)
1 Se 0.6311 0.5319 0.8876
2 Se 0.1311 0.5319 0.6124
3 Se 0.8689 0.0319 0.3876
4 Se 0.3689 0.4681 0.1124
5 Se 0.6374 0.2500 0.4301
6 Cd 0.2027 0.7500 0.7720
7 Se 0.3626 0.7500 0.5699
8 K 0.0000 0.0000 0.0000
9 Se 0.6423 0.7500 0.3697
10 K 0.4665 0.7500 0.0205
11 K 0.5000 0.5000 0.5000
12 Se 0.1311 0.9681 0.6124
13 Cd 0.7464 0.4062 0.6638
14 K 0.5335 0.2500 0.9795
15 Cd 0.2536 0.9062 0.3362
16 K 0.9665 0.7500 0.4795
17 Cd 0.2464 0.0938 0.8362
18 Cd 0.2464 0.4062 0.8362
19 Cd 0.7027 0.7500 0.7280
20 Se 0.1423 0.7500 0.1303
21 Se 0.8689 0.4681 0.3876
22 Cd 0.2536 0.5938 0.3362
23 Se 0.6311 0.9681 0.8876
24 Se 0.8626 0.7500 0.9301
25 Cd 0.7973 0.2500 0.2280
26 Cd 0.2973 0.2500 0.2720
27 K 0.0335 0.2500 0.5205
28 Se 0.3689 0.0319 0.1124
29 K 0.5000 0.0000 0.5000
30 Cd 0.7536 0.9062 0.1638
31 Se 0.3577 0.2500 0.6303
32 Cd 0.7464 0.0938 0.6638
33 Se 0.1374 0.2500 0.0699
34 K 0.0000 0.5000 0.0000
35 Se 0.8577 0.2500 0.8697
36 Cd 0.7536 0.5938 0.1638


Entry from the Open Quantum Materials Database: an optimized crystal structure of BaZrAl2O6 (PBE).

abc: 12.7554 12.7554 12.7554
angles: 23.37 23.37 23.37
Element x y z (fractional)
1 Zr 0.7497 0.7497 0.7497
2 O 0.1361 0.4214 0.7740
3 O 0.9214 0.6361 0.2740
4 Al 0.9125 0.9125 0.9125
5 O 0.3634 0.0781 0.7254
6 O 0.5781 0.8634 0.2254
7 O 0.0781 0.7254 0.3634
8 O 0.8634 0.2254 0.5781
9 O 0.2740 0.9214 0.6361
10 Al 0.5870 0.5870 0.5870
11 O 0.6361 0.2740 0.9214
12 Ba 0.4998 0.4998 0.4998
13 Al 0.4125 0.4125 0.4125
14 Al 0.0870 0.0870 0.0870
15 O 0.7740 0.1361 0.4214
16 O 0.2254 0.5781 0.8634
17 O 0.4214 0.7740 0.1361
18 Ba 0.9998 0.9998 0.9998
19 Zr 0.2497 0.2497 0.2497
20 O 0.7254 0.3634 0.0781


Entry from the Open Quantum Materials Database: an optimized crystal structure of ZrSn2Pd (PBE).

abc: 4.9712 4.9712 4.9712
angles: 60.00 60.00 60.00
Element x y z (fractional)
1 Sn 0.7500 0.7500 0.7500
2 Zr 0.2500 0.2500 0.2500
3 Pd 0.5000 0.5000 0.5000
4 Sn 0.0000 0.0000 0.0000


Entry from the Open Quantum Materials Database: an optimized crystal structure of CdReO3 (PBE).

abc: 5.5491 5.3758 7.6777
angles: 90.00 90.00 90.00
Element x y z (fractional)
1 Cd 0.0100 0.9533 0.7500
2 O 0.2951 0.7017 0.9476
3 Cd 0.4900 0.4533 0.7500
4 O 0.2049 0.2017 0.5524
5 Cd 0.9900 0.0467 0.2500
6 O 0.2951 0.7017 0.5524
7 O 0.2049 0.2017 0.9476
8 O 0.1083 0.5007 0.2500
9 O 0.7049 0.2983 0.0524
10 Re 0.0000 0.5000 0.0000
11 O 0.6083 0.9993 0.7500
12 Cd 0.5100 0.5467 0.2500
13 O 0.7049 0.2983 0.4476
14 O 0.3917 0.0007 0.2500
15 O 0.7951 0.7983 0.4476
16 Re 0.5000 0.0000 0.5000
17 Re 0.5000 0.0000 0.0000
18 O 0.7951 0.7983 0.0524
19 O 0.8917 0.4993 0.7500
20 Re 0.0000 0.5000 0.5000


Entry from the Open Quantum Materials Database: an optimized crystal structure of SrTaBeIr (PBE).

Results
distance to the lowest polymorph of the same formula	0.0	meV per atom

abc: 4.6013 4.6013 4.6013
angles: 60.00 60.00 60.00
Element x y z (fractional)
1 Be 0.7500 0.7500 0.7500
2 Sr 0.0000 0.0000 0.0000
3 Ta 0.2500 0.2500 0.2500
4 Ir 0.5000 0.5000 0.5000


Entry from the Open Quantum Materials Database: an optimized crystal structure of CuAg3 (PBE).

Results
energy relative to the elements	0.07	eV per atom

abc: 2.8732 3.9582 11.5329
angles: 90.00 90.00 90.00
Element x y z (fractional)
1 Ag 0.5000 0.5000 0.0000
2 Ag 0.0000 0.0000 0.6326
3 Ag 0.0000 0.0000 0.3674
4 Cu 0.0000 0.0000 0.8834
5 Ag 0.5000 0.5000 0.2379
6 Ag 0.5000 0.5000 0.5000
7 Cu 0.0000 0.0000 0.1166
8 Ag 0.5000 0.5000 0.7621


Entry from the Open Quantum Materials Database: an optimized crystal structure of ZrOs (PBE).

Results
energy relative to the elements	-0.53	eV per atom

abc: 4.6472 3.2807 4.6383
angles: 90.00 90.00 90.00
Element x y z (fractional)
1 Zr 0.4170 0.0000 0.5000
2 Zr 0.9163 0.0000 0.0000
3 Os 0.4162 0.5000 0.0000
4 Os 0.9172 0.5000 0.5000


Entry from the Open Quantum Materials Database: an optimized crystal structure of LiHfBi2 (PBE).

abc: 5.2554 5.2554 5.2554
angles: 60.00 60.00 60.00
Element x y z (fractional)
1 Bi 0.0000 0.0000 0.0000
2 Bi 0.2500 0.2500 0.2500
3 Hf 0.5000 0.5000 0.5000
4 Li 0.7500 0.7500 0.7500


Entry from the Open Quantum Materials Database: an optimized crystal structure of PrGeH (PBE).

abc: 4.2646 4.1017 6.4228
angles: 90.00 109.39 90.00
Element x y z (fractional)
1 H 0.2542 0.7500 0.0093
2 H 0.7458 0.2500 0.9907
3 Pr 0.8529 0.7500 0.2064
4 Pr 0.1471 0.2500 0.7936
5 Ge 0.4365 0.2500 0.3741
6 Ge 0.5635 0.7500 0.6259


Entry from the Open Quantum Materials Database: an optimized crystal structure of NaZrAgTe3 (PBE).

Results
distance to the lowest polymorph of the same formula	86.4	meV per atom

abc: 8.3733 4.3220 18.2829
angles: 90.00 90.00 90.00
Element x y z (fractional)
1 Te 0.3263 0.7500 0.6993
2 Ag 0.4982 0.7500 0.8261
3 Te 0.1737 0.2500 0.1993
4 Te 0.9969 0.7500 0.4252
5 Zr 0.7416 0.2500 0.4537
6 Te 0.4969 0.7500 0.0748
7 Ag 0.0018 0.2500 0.3261
8 Te 0.5031 0.2500 0.9252
9 Te 0.8737 0.2500 0.0515
10 Na 0.6397 0.2500 0.6917
11 Na 0.3603 0.7500 0.3083
12 Te 0.3737 0.2500 0.4485
13 Te 0.8263 0.7500 0.8007
14 Te 0.1263 0.7500 0.9485
15 Ag 0.9982 0.7500 0.6739
16 Te 0.6737 0.2500 0.3007
17 Zr 0.2584 0.7500 0.5463
18 Zr 0.7584 0.7500 0.9537
19 Na 0.8603 0.7500 0.1917
20 Ag 0.5018 0.2500 0.1739
21 Zr 0.2416 0.2500 0.0463
22 Te 0.6263 0.7500 0.5515
23 Na 0.1397 0.2500 0.8083
24 Te 0.0031 0.2500 0.5748


Entry from the Open Quantum Materials Database: an optimized crystal structure of Dy2ZnGe4O12 (PBE).

abc: 4.9039 7.1093 7.8845
angles: 67.23 87.99 79.27
Element x y z (fractional)
1 O 0.2502 0.7645 0.1965
2 O 0.6046 0.3486 0.2706
3 O 0.2545 0.2812 0.0091
4 O 0.2280 0.4226 0.5941
5 Zn 0.0000 0.0000 0.0000
6 Ge 0.4168 0.3744 0.7935
7 Ge 0.5832 0.6256 0.2065
8 O 0.7498 0.2355 0.8035
9 Ge 0.5385 0.8382 0.7791
10 O 0.7726 0.9333 0.6100
11 O 0.7469 0.9828 0.2083
12 O 0.2531 0.0172 0.7917
13 O 0.7455 0.7188 0.9909
14 Dy 0.0521 0.7660 0.4582
15 O 0.7720 0.5774 0.4059
16 O 0.3954 0.6514 0.7294
17 Dy 0.9479 0.2340 0.5418
18 O 0.2274 0.0667 0.3900
19 Ge 0.4615 0.1618 0.2209


Entry from the Open Quantum Materials Database: an optimized crystal structure of Hf2MgAl2FeIr2 (PBE).

abc: 4.4494 4.4494 6.3860
angles: 90.00 90.00 90.00
Element x y z (fractional)
1 Hf 0.0000 0.5000 0.7635
2 Al 0.0000 0.5000 0.2387
3 Hf 0.5000 0.0000 0.2365
4 Fe 0.0000 0.0000 0.0000
5 Ir 0.0000 0.0000 0.5000
6 Ir 0.5000 0.5000 0.0000
7 Al 0.5000 0.0000 0.7613
8 Mg 0.5000 0.5000 0.5000


Entry from the Open Quantum Materials Database: an optimized crystal structure of NdTa2 (PBE).

Results
energy relative to the elements	0.55	eV per atom
distance to the lowest polymorph of the same formula	211.2	meV per atom

abc: 4.9330 4.9330 3.1378
angles: 90.00 90.00 120.00
Element x y z (fractional)
1 Ta 0.6667 0.3333 0.6115
2 Ta 0.3333 0.6667 0.3885
3 Nd 0.0000 0.0000 0.0000


Entry from the Open Quantum Materials Database: an optimized crystal structure of PrScZn2Sn2 (PBE).

Results
distance to the lowest polymorph of the same formula	36.1	meV per atom

abc: 4.5349 4.5349 15.4343
angles: 90.00 90.00 120.00
Element x y z (fractional)
1 Sn 0.3333 0.6667 0.1031
2 Zn 0.3333 0.6667 0.6478
3 Zn 0.3333 0.6667 0.8522
4 Sc 0.0000 0.0000 0.5000
5 Sn 0.3333 0.6667 0.3969
6 Sc 0.0000 0.0000 0.0000
7 Pr 0.0000 0.0000 0.2500
8 Zn 0.6667 0.3333 0.1478
9 Sn 0.6667 0.3333 0.8969
10 Pr 0.0000 0.0000 0.7500
11 Sn 0.6667 0.3333 0.6031
12 Zn 0.6667 0.3333 0.3522


Entry from the Open Quantum Materials Database: an optimized crystal structure of CsAgSnS3 (PBE).

Results
distance to the lowest polymorph of the same formula	0.0	meV per atom

abc: 15.5677 4.0209 10.7126
angles: 90.00 90.00 90.00
Element x y z (fractional)
1 S 0.9204 0.2500 0.6536
2 S 0.9156 0.7500 0.9386
3 S 0.4204 0.2500 0.8464
4 Ag 0.0205 0.7500 0.5807
5 S 0.6156 0.7500 0.7268
6 Cs 0.7726 0.7500 0.4743
7 Ag 0.9795 0.2500 0.4193
8 Ag 0.5205 0.7500 0.9193
9 Ag 0.4795 0.2500 0.0807
10 S 0.8844 0.2500 0.2268
11 S 0.4156 0.7500 0.5614
12 S 0.3844 0.2500 0.2732
13 Cs 0.2274 0.2500 0.5257
14 Cs 0.2726 0.7500 0.0257
15 Sn 0.5148 0.2500 0.6541
16 Sn 0.9852 0.7500 0.1541
17 Sn 0.4852 0.7500 0.3459
18 Sn 0.0148 0.2500 0.8459
19 S 0.5796 0.7500 0.1536
20 S 0.5844 0.2500 0.4386
21 S 0.0844 0.2500 0.0614
22 S 0.1156 0.7500 0.7732
23 S 0.0796 0.7500 0.3464
24 Cs 0.7274 0.2500 0.9743


Entry from the Open Quantum Materials Database: an optimized crystal structure of Rb4Ag2SbP (PBE).

abc: 6.5240 6.7606 6.7606
angles: 105.98 90.00 90.00
Element x y z (fractional)
1 Ag 0.7692 0.9869 0.9869
2 Rb 0.0000 0.1853 0.5367
3 P 0.0000 0.7478 0.7478
4 Rb 0.5000 0.4918 0.8215
5 Rb 0.0000 0.5367 0.1853
6 Ag 0.2308 0.9869 0.9869
7 Sb 0.5000 0.2430 0.2430
8 Rb 0.5000 0.8215 0.4918


Entry from the Open Quantum Materials Database: an optimized crystal structure of MgAlAg2 (PBE).

Results
distance to the lowest polymorph of the same formula	71.1	meV per atom

abc: 4.5794 4.5794 8.0496
angles: 90.00 90.00 120.00
Element x y z (fractional)
1 Ag 0.6667 0.3333 0.4170
2 Ag 0.3333 0.6667 0.5830
3 Mg 0.0000 0.0000 0.5000
4 Al 0.6667 0.3333 0.7500
5 Ag 0.3333 0.6667 0.9170
6 Mg 0.0000 0.0000 0.0000
7 Ag 0.6667 0.3333 0.0830
8 Al 0.3333 0.6667 0.2500


Entry from the Open Quantum Materials Database: an optimized crystal structure of NdDyMg2Au4 (PBE).

abc: 4.9504 4.9504 6.9963
angles: 90.00 90.00 90.00
Element x y z (fractional)
1 Au 0.0000 0.5000 0.2393
2 Mg 0.0000 0.0000 0.5000
3 Dy 0.0000 0.0000 0.0000
4 Au 0.0000 0.5000 0.7607
5 Au 0.5000 0.0000 0.7607
6 Au 0.5000 0.0000 0.2393
7 Nd 0.5000 0.5000 0.5000
8 Mg 0.5000 0.5000 0.0000


Entry from the Open Quantum Materials Database: an optimized crystal structure of KRb2CuBr6 (PBE).

Results
distance to the lowest polymorph of the same formula	0.0	meV per atom

abc: 8.4217 8.4217 8.4217
angles: 127.78 127.78 76.98
Element x y z (fractional)
1 Br 0.6900 0.0739 0.7639
2 Br 0.0739 0.3100 0.3838
3 Br 0.2569 0.2569 0.0000
4 Rb 0.7500 0.2500 0.5000
5 Br 0.7431 0.7431 0.0000
6 K 0.5000 0.5000 0.0000
7 Br 0.3100 0.9261 0.2361
8 Cu 0.0000 0.0000 0.0000
9 Rb 0.2500 0.7500 0.5000
10 Br 0.9261 0.6900 0.6162


Entry from the Open Quantum Materials Database: an optimized crystal structure of TmGaPbS3 (PBE).

abc: 7.6073 7.6073 10.6136
angles: 90.00 90.00 150.50
Element x y z (fractional)
1 S 0.8731 0.1269 0.9930
2 S 0.1269 0.8731 0.0070
3 S 0.4736 0.5264 0.2500
4 S 0.1269 0.8731 0.4930
5 Pb 0.2036 0.7964 0.2500
6 Tm 0.5000 0.5000 0.5000
7 Tm 0.5000 0.5000 0.0000
8 Pb 0.7964 0.2036 0.7500
9 Ga 0.1331 0.8669 0.7500
10 S 0.5264 0.4736 0.7500
11 Ga 0.8669 0.1331 0.2500
12 S 0.8731 0.1269 0.5070


no.,DFT total energy (eV/atom)
1,-2.9446
2,-7.7665
3,-5.5798
4,-6.7034
5,-6.1507
6,-2.9808
7,-10.4140
8,-4.7049
9,-5.0000
10,-4.3258
11,-6.8210
12,-7.5144
13,-8.9426
14,-4.1351
15,-3.9005
16,-2.7240
17,-2.8480
18,-3.9473
19,-2.7756
20,-4.9345